1.
Computed, not measured: crystalline Tb2NdSmS4 at its relaxed geometry at the GGA-PBE level of DFT.

Output
* SG: No. 10
* E_form (uncorrected): -2.017 eV/atom

Cell lengths 3.9400, 6.9664, 6.8870 Å; angles 71.06, 90.00, 90.00 degrees
Last column: nearest neighbours and their distance in Å.
Positions (direct):
1 S 0.5000 0.7599 0.2489  3 Tb 2.77-2.78, 2 Sm 2.85, 1 Nd 2.87
2 S 0.0000 0.7617 0.7436  3 Tb 2.76-2.79, 1 Sm 2.85, 2 Nd 2.87
3 Tb 0.0000 0.0000 0.0000  6 S 2.78-2.79
4 Nd 0.5000 0.5000 0.0000  6 S 2.87
5 S 0.0000 0.2383 0.2564  3 Tb 2.76-2.79, 1 Sm 2.85, 2 Nd 2.87
6 Tb 0.5000 0.0000 0.5000  6 S 2.76-2.77
7 Sm 0.0000 0.5000 0.5000  6 S 2.85
8 S 0.5000 0.2401 0.7511  3 Tb 2.77-2.78, 2 Sm 2.85, 1 Nd 2.87

***

2.
Computed, not measured: crystalline Y3NbO7 at its relaxed geometry at the GGA-PBE level of DFT.

Output
* SG: No. 8
* E_form (uncorrected): -3.108 eV/atom

Cell lengths 8.5543, 8.5543, 5.6200 Å; angles 93.79, 93.79, 127.60 degrees
Last column: nearest neighbours and their distance in Å.
Positions (direct):
1 O 0.2275 0.2275 0.8175  4 Y 2.16-2.39
2 O 0.6655 0.3664 0.0999  1 Nb 1.90
3 Y 0.5141 0.5141 0.9233  4 O 2.16-2.24
4 O 0.0047 0.4854 0.3276  1 Nb 2.01, 1 Y 2.17
5 Y 0.3597 0.0944 0.5940  6 O 2.21-2.39
6 O 0.9007 0.1388 0.2553  1 Nb 2.10, 2 Y 2.28-2.29
7 Nb 0.2791 0.8196 0.0451  4 O 1.90-2.10
8 O 0.0922 0.8345 0.7742  1 Nb 2.20, 3 Y 2.36-2.38
9 Nb 0.8196 0.2791 0.0451  4 O 1.90-2.10
10 O 0.8345 0.0922 0.7742  1 Nb 2.20, 3 Y 2.36-2.38
11 Y 0.6099 0.8585 0.4388  5 O 2.16-2.36
12 O 0.1388 0.9007 0.2553  1 Nb 2.10, 2 Y 2.28-2.29
13 O 0.3664 0.6655 0.0999  1 Nb 1.90
14 O 0.4179 0.6043 0.6232  3 Y 2.16-2.21
15 O 0.4854 0.0047 0.3276  1 Nb 2.01, 1 Y 2.17
16 O 0.7454 0.7454 0.2232  4 Y 2.24-2.36
17 Y 0.8585 0.6099 0.4388  5 O 2.16-2.36
18 O 0.6043 0.4179 0.6232  3 Y 2.16-2.21
19 O 0.0022 0.4843 0.8614  1 Nb 1.92
20 O 0.4843 0.0022 0.8614  1 Nb 1.92
21 Y 0.0944 0.3597 0.5940  6 O 2.21-2.39
22 Y 0.9917 0.9917 0.0111  6 O 2.22-2.38

***

3.
Computed, not measured: crystalline TbUB4 at its relaxed geometry at the GGA-PBE level of DFT.

Output
* formation enthalpy at 0 K: -0.24 eV/atom
* SG: No. 55

Cell lengths 4.0399, 6.1292, 11.9973 Å; angles 90.00, 90.00, 90.00 degrees
Last column: nearest neighbours and their distance in Å.
Positions (direct):
1 B 0.5000 0.0143 0.6946  3 B 1.81-1.93
2 U 0.0000 0.3742 0.9219  1 U 2.43, 10 B 2.55-2.64
3 U 0.0000 0.1258 0.4219  1 U 2.43, 10 B 2.55-2.64
4 B 0.5000 0.8720 0.0315  3 B 1.74-1.93
5 B 0.5000 0.6998 0.6878  3 B 1.81-1.93
6 U 0.0000 0.8742 0.5781  1 U 2.43, 10 B 2.55-2.64
7 B 0.5000 0.8002 0.1878  3 B 1.81-1.93
8 B 0.5000 0.4857 0.1946  3 B 1.81-1.93
9 Tb 0.0000 0.3752 0.6575  14 B 2.82-3.04
10 Tb 0.0000 0.8752 0.8425  14 B 2.82-3.04
11 B 0.5000 0.6280 0.5315  3 B 1.74-1.93
12 B 0.5000 0.3720 0.4685  3 B 1.74-1.93
13 B 0.5000 0.1280 0.9685  3 B 1.74-1.93
14 B 0.5000 0.3002 0.3122  3 B 1.81-1.93
15 B 0.5000 0.3784 0.0517  3 B 1.83-1.94
16 B 0.5000 0.8784 0.4483  3 B 1.83-1.94
17 B 0.5000 0.1998 0.8122  3 B 1.81-1.93
18 B 0.5000 0.5143 0.8054  3 B 1.81-1.93
19 U 0.0000 0.6258 0.0781  1 U 2.43, 10 B 2.55-2.64
20 B 0.5000 0.1216 0.5517  3 B 1.83-1.94
21 Tb 0.0000 0.1248 0.1575  14 B 2.82-3.04
22 B 0.5000 0.6216 0.9483  3 B 1.83-1.94
23 Tb 0.0000 0.6248 0.3425  14 B 2.82-3.04
24 B 0.5000 0.9857 0.3054  3 B 1.81-1.93

***

4.
Computed, not measured: crystalline Hf2AlRh at its relaxed geometry at the GGA-PBE level of DFT.

Output
* formation enthalpy at 0 K: -0.34 eV/atom
* SG: No. 166

Cell lengths 3.1902, 3.1902, 8.8620 Å; angles 79.63, 79.63, 60.00 degrees
Last column: nearest neighbours and their distance in Å.
Positions (direct):
1 Rh 0.0000 0.0000 0.0000  6 Hf 2.74
2 Al 0.5000 0.5000 0.5000  6 Hf 2.95, 6 Al 3.19
3 Hf 0.7445 0.7445 0.7665  3 Rh 2.74, 3 Al 2.95
4 Hf 0.2555 0.2555 0.2335  3 Rh 2.74, 3 Al 2.95

***

5.
Computed, not measured: crystalline LuPaPdRh at its relaxed geometry at the GGA-PBE level of DFT.

Output
* formation enthalpy at 0 K: -0.67 eV/atom
* SG: No. 216

Cell lengths 4.8825, 4.8825, 4.8825 Å; angles 60.00, 60.00, 60.00 degrees
Last column: nearest neighbours and their distance in Å.
Positions (direct):
1 Pd 0.5000 0.5000 0.5000  4 Pa 2.99, 4 Lu 2.99
2 Pa 0.7500 0.7500 0.7500  4 Rh 2.99, 4 Pd 2.99
3 Rh 0.0000 0.0000 0.0000  4 Pa 2.99, 4 Lu 2.99
4 Lu 0.2500 0.2500 0.2500  4 Rh 2.99, 4 Pd 2.99

***

6.
Computed, not measured: crystalline YAg2Au at its relaxed geometry at the GGA-PBE level of DFT.

Output
* formation enthalpy at 0 K: -0.10 eV/atom
* SG: No. 122

Cell lengths 8.0043, 8.0043, 6.3439 Å; angles 50.89, 50.89, 90.00 degrees
Last column: nearest neighbours and their distance in Å.
Positions (direct):
1 Ag 0.3750 0.3494 0.7500  2 Au 2.78, 2 Ag 2.89, 2 Y 3.06
2 Y 0.2500 0.7500 0.5000  2 Au 2.87, 4 Ag 3.06
3 Au 0.7500 0.2500 0.5000  4 Ag 2.78, 2 Y 2.87
4 Y 0.5000 0.5000 0.0000  2 Au 2.87, 4 Ag 3.06
5 Ag 0.6506 0.1250 0.2500  2 Au 2.78, 2 Ag 2.89, 2 Y 3.06
6 Ag 0.0994 0.6250 0.2500  2 Au 2.78, 2 Ag 2.89, 2 Y 3.06
7 Au 0.0000 0.0000 0.0000  4 Ag 2.78, 2 Y 2.87
8 Ag 0.8750 0.9006 0.7500  2 Au 2.78, 2 Ag 2.89, 2 Y 3.06

***

Please write out number 4 again, unchanged.
Computed, not measured: crystalline Hf2AlRh at its relaxed geometry at the GGA-PBE level of DFT.

Output
* formation enthalpy at 0 K: -0.34 eV/atom
* SG: No. 166

Cell lengths 3.1902, 3.1902, 8.8620 Å; angles 79.63, 79.63, 60.00 degrees
Last column: nearest neighbours and their distance in Å.
Positions (direct):
1 Rh 0.0000 0.0000 0.0000  6 Hf 2.74
2 Al 0.5000 0.5000 0.5000  6 Hf 2.95, 6 Al 3.19
3 Hf 0.7445 0.7445 0.7665  3 Rh 2.74, 3 Al 2.95
4 Hf 0.2555 0.2555 0.2335  3 Rh 2.74, 3 Al 2.95